A plane-wave DFT calculation with PBE-GGA was carried out for a geometry-optimized Mg3CdRh4 structure.

Properties
N(E_F): 5.2 states/eV per cell
ΔE_f: -0.365 eV per atom
theoretical density: 7.9 g cm⁻³

Lattice parameters (Å, degrees): 7.718 7.718 7.718 33.58 33.58 33.58
Fractional positions:
Mg: 0.000 0.000 0.000
Mg: 0.250 0.250 0.250
Mg: 0.750 0.750 0.750
Cd: 0.500 0.500 0.500
Rh: 0.123 0.123 0.123
Rh: 0.373 0.373 0.373
Rh: 0.627 0.627 0.627
Rh: 0.877 0.877 0.877